# 1
A relaxed NdSI crystal, computed with PBE-GGA.

The structure belongs to space group P2_1/c (No. 14); the cell edges are 7.312, 7.314 and 7.083 Å and the angles 90.00°, 98.79° and 90.00°. The distinct sites, in fractional coordinates, are Nd at (0.166, 0.030, 0.285), S at (0.048, 0.741, 0.507) and I at (0.406, 0.101, 0.727).

The calculated volume is 31.20 Å³/atom. The calculation puts the spin magnetization at 0.00 μB/f.u. The value obtained for the total energy is -15.76 eV/f.u.

# 2
A relaxed NbCdAs2 crystal, computed with PBE-GGA.

The structure belongs to space group F-43m (No. 216); the cell edges are 6.735, 6.735 and 6.735 Å and the angles 90.00°, 90.00° and 90.00°. The distinct sites, in fractional coordinates, are Nb at (0.000, 0.000, 0.000), Cd at (0.250, 0.250, 0.250), As at (0.000, 0.000, 0.500) and As at (0.250, 0.250, 0.750).

The calculated volume is 19.09 Å³/atom. The calculation puts the spin magnetization at 0.63 μB/f.u. The value obtained for the total energy is -18.39 eV/f.u.

# 3
A relaxed Pm2Au crystal, computed with PBE-GGA.

The structure belongs to space group Fd-3m (No. 227, origin choice 2); the cell edges are 8.709, 8.709 and 8.709 Å and the angles 90.00°, 90.00° and 90.00°. The distinct sites, in fractional coordinates, are Pm at (0.000, 0.000, 0.000) and Au at (0.125, 0.125, 0.625).

The calculated volume is 27.52 Å³/atom. The calculation puts the spin magnetization at 0.09 μB/f.u. The value obtained for the relative energy among the computed polymorphs is 19.610 kcal/mol of atoms. The formation enthalpy at 0 K comes out at 0.278 eV per atom.

# 4
A relaxed DyHo crystal, computed with PBE-GGA.

The structure belongs to space group F-43m (No. 216); the cell edges are 6.936, 6.936 and 6.936 Å and the angles 90.00°, 90.00° and 90.00°. The distinct sites, in fractional coordinates, are Dy at (0.000, 0.000, 0.000) and Ho at (0.250, 0.250, 0.750).

The calculated volume is 41.70 Å³/atom. The calculation puts the spin magnetization at 0.01 μB/f.u. The value obtained for the relative energy among the computed polymorphs is 45.298 kcal/mol of atoms. The formation enthalpy at 0 K comes out at 1.970 eV per atom.